# 1
## LiB2SbO6 (SCAN)

Data for a crystal of LiB2SbO6 relaxed with PBEsol.

a b c (Å): 5.0713 9.0496 11.0049
angles (deg): 90.00 107.46 90.00
With the nearest neighbours (Å) after each atom.
Space group P2_1/c (No. 14)
Asymmetric unit:
Li 0.0493 0.0443 0.3860  5 O 2.04-2.14
B 0.0093 0.1240 0.8616  3 O 1.37-1.38
B 0.4582 0.1955 0.6067  3 O 1.37-1.40
Sb 0.0226 0.2046 0.1288  6 O 1.95-2.10
O 0.0496 0.5087 0.3082  1 B 1.38
O 0.0876 0.2475 0.3135  1 B 1.38
O 0.1196 0.6335 0.5459  1 B 1.37
O 0.2153 0.1111 0.5762  1 B 1.40
O 0.2939 0.6516 0.9064  1 B 1.37
O 0.4205 0.1652 0.1502  1 B 1.38

E_tot	-11.331	eV/atom
calculated volume	481.8	Å³/cell
formation energy from raw total energies	-2.142	eV/atom



# 2
## Li2B8SeO15 (SCAN)

Data for a crystal of Li2B8SeO15 relaxed with PBEsol.

a b c (Å): 8.6969 16.2543 8.4670
angles (deg): 90.00 95.14 90.00
With the nearest neighbours (Å) after each atom.
Space group P2_1/c (No. 14)
Asymmetric unit:
Li 0.1162 0.0000 0.1357  4 O 1.97-2.12
Li 0.3593 0.1416 0.5010  4 O 1.94-1.97
B 0.0288 0.1844 0.4366  4 O 1.45-1.49
B 0.0912 0.0700 0.6299  3 O 1.36-1.40
B 0.1734 0.6098 0.9346  3 O 1.35-1.40
B 0.3412 0.5022 0.2197  3 O 1.34-1.41
B 0.3879 0.1787 0.9594  3 O 1.34-1.39
B 0.3994 0.2329 0.2216  3 O 1.35-1.39
B 0.4058 0.5422 0.8363  3 O 1.36-1.39
B 0.4335 0.0837 0.1782  4 O 1.45-1.50
Se 0.0588 0.6731 0.4024  3 O 1.66-1.77
O 0.0277 0.5797 0.4720  1 Se 1.66
O 0.0628 0.2283 0.9784  1 B 1.49
O 0.0651 0.5618 0.8445  2 B 1.40
O 0.0681 0.1710 0.2715  1 B 1.48
O 0.1311 0.6660 0.0398  2 B 1.35-1.45
O 0.1384 0.1296 0.5327  2 B 1.36-1.49
O 0.1847 0.0121 0.7055  2 B 1.37-1.38
O 0.3271 0.6005 0.9145  2 B 1.37
O 0.3388 0.0148 0.2352  2 B 1.36-1.50
O 0.3812 0.1013 0.0141  2 B 1.34-1.45
O 0.3818 0.1946 0.8004  2 B 1.37
O 0.4022 0.5640 0.3089  2 B 1.34-1.46
O 0.4082 0.2458 0.0608  2 B 1.39
O 0.4098 0.1561 0.2837  2 B 1.35-1.50
O 0.4347 0.0469 0.6306  2 B 1.39-1.41

E_tot	-9.247	eV/atom
calculated volume	1192.1	Å³/cell
formation energy from raw total energies	-2.410	eV/atom



# 3
## Li3SiSnBO7 (SCAN)

Data for a crystal of Li3SiSnBO7 relaxed with PBEsol.

a b c (Å): 5.1043 6.4998 8.4168
angles (deg): 90.00 96.12 90.00
With the nearest neighbours (Å) after each atom.
Space group P2_1/m (No. 11)
Asymmetric unit:
Li 0.2191 0.2500 0.0989  2 O 1.91-1.98
Li 0.2712 0.5161 0.7511  2 O 1.94-2.14
Si 0.2627 0.2500 0.4196  4 O 1.62-1.65
Sn 0.2088 0.7500 0.3199  6 O 2.03-2.14
B 0.3161 0.7500 0.0315  3 O 1.35-1.42
O 0.0584 0.7500 0.0727  1 B 1.40
O 0.1465 0.2500 0.5916  1 Si 1.62
O 0.1596 0.0601 0.3014  1 Si 1.64
O 0.3905 0.7500 0.8825  1 B 1.35
O 0.4134 0.7500 0.5431  1 Si 1.65
O 0.4951 0.2500 0.8317  1 B 1.42

E_tot	-10.434	eV/atom
calculated volume	277.7	Å³/cell
formation energy from raw total energies	-2.422	eV/atom



# 4
## Li6SmB3O9 (SCAN)

Data for a crystal of Li6SmB3O9 relaxed with PBEsol.

a b c (Å): 7.2203 16.4166 6.6771
angles (deg): 90.00 105.33 90.00
With the nearest neighbours (Å) after each atom.
Space group P2_1/c (No. 14)
Asymmetric unit:
Li 0.0452 0.0300 0.1704  4 O 1.90-2.08
Li 0.0581 0.7042 0.0464  5 O 2.00-2.17
Li 0.1932 0.5346 0.0557  3 O 1.92-2.08
Li 0.2142 0.2061 0.8661  4 O 1.95-2.12
Li 0.3622 0.0524 0.9169  3 O 1.89-2.03
Li 0.4275 0.0037 0.3235  4 O 1.85-1.95
Sm 0.4186 0.6897 0.8474  8 O 2.33-2.53
B 0.0570 0.6141 0.6891  3 O 1.38-1.39
B 0.2122 0.1197 0.5008  3 O 1.37-1.40
B 0.4152 0.6347 0.3380  3 O 1.36-1.39
O 0.0351 0.0871 0.4141  1 B 1.37
O 0.0725 0.6974 0.7260  1 B 1.39
O 0.1080 0.0767 0.9241  1 B 1.38
O 0.2211 0.5676 0.7713  1 B 1.39
O 0.2368 0.2017 0.5562  1 B 1.40
O 0.3443 0.6838 0.1656  1 B 1.39
O 0.3784 0.0725 0.5413  1 B 1.39
O 0.4136 0.5522 0.3249  1 B 1.36
O 0.4972 0.6738 0.5260  1 B 1.39

E_tot	-9.914	eV/atom
calculated volume	763.3	Å³/cell
formation energy from raw total energies	-2.696	eV/atom



# 5
## Li3SnB2O6 (SCAN)

Data for a crystal of Li3SnB2O6 relaxed with PBEsol.

a b c (Å): 8.7726 6.3280 9.9374
angles (deg): 90.00 116.47 90.00
With the nearest neighbours (Å) after each atom.
Space group P2_1/c (No. 14)
Asymmetric unit:
Li 0.1032 0.2471 0.4802  4 O 1.91-2.04
Li 0.2090 0.5600 0.1682  4 O 1.93-2.03
Li 0.3403 0.7235 0.5433  4 O 1.87-2.00
Sn 0.3101 0.0357 0.3043  7 O 2.24-2.48
B 0.0413 0.6626 0.8216  3 O 1.38-1.39
B 0.4494 0.1678 0.1166  3 O 1.37-1.40
O 0.0911 0.7058 0.7102  1 B 1.39
O 0.1162 0.2119 0.6867  1 B 1.38
O 0.1597 0.5565 0.9481  1 B 1.39
O 0.2943 0.0667 0.0613  1 B 1.38
O 0.4414 0.6505 0.2335  1 B 1.37
O 0.4959 0.2044 0.5265  1 B 1.40

E_tot	-10.169	eV/atom
calculated volume	493.8	Å³/cell
distance to the lowest polymorph of the same formula	0.046	eV per atom
formation energy from raw total energies	-2.224	eV/atom



# 6
## Li2SnBO4 (SCAN)

Data for a crystal of Li2SnBO4 relaxed with PBEsol.

a b c (Å): 7.4863 5.0208 10.0795
angles (deg): 90.00 98.53 90.00
With the nearest neighbours (Å) after each atom.
Space group P2_1/c (No. 14)
Asymmetric unit:
Li 0.0910 0.1538 0.2950  3 O 1.89-1.93
Li 0.1967 0.1793 0.5756  4 O 1.89-2.11
Sn 0.4922 0.1253 0.8775  3 O 1.99-2.07
B 0.1658 0.6898 0.4385  3 O 1.35-1.42
O 0.0295 0.6806 0.8624  1 B 1.35
O 0.2025 0.0794 0.9175  1 B 1.40
O 0.2782 0.6685 0.0401  1 B 1.42
O 0.3787 0.1411 0.2291  2 Sn 1.99-2.05, 1 Li 2.11

E_tot	-11.264	eV/atom
calculated volume	374.7	Å³/cell
formation energy from raw total energies	-2.132	eV/atom



# 7
## Li3SnB2O6 (SCAN)

Data for a crystal of Li3SnB2O6 relaxed with PBEsol.

a b c (Å): 4.9523 7.1547 7.9159
angles (deg): 69.32 87.80 89.91
With the nearest neighbours (Å) after each atom.
Space group P-1 (No. 2)
Asymmetric unit:
Li 0.1690 0.2403 0.3828  4 O 1.90-2.06
Li 0.1792 0.9376 0.7506  3 O 1.91-1.92
Li 0.3224 0.0878 0.0614  4 O 1.93-2.01
Sn 0.3693 0.4464 0.6716  4 O 1.99-2.22
B 0.1515 0.6868 0.1069  3 O 1.34-1.41
B 0.3371 0.8695 0.4267  3 O 1.35-1.42
O 0.1332 0.3134 0.8910  1 B 1.41
O 0.1934 0.0148 0.3097  1 B 1.35
O 0.2217 0.7423 0.5947  1 B 1.42
O 0.2690 0.5178 0.2301  1 B 1.40
O 0.2947 0.8435 0.9939  1 B 1.34
O 0.3919 0.1660 0.6115  1 B 1.41

E_tot	-10.215	eV/atom
calculated volume	262.2	Å³/cell
distance to the lowest polymorph of the same formula	0.000	eV per atom
formation energy from raw total energies	-2.270	eV/atom



# 8
## LiSnBO2 (SCAN)

Data for a crystal of LiSnBO2 relaxed with PBEsol.

a b c (Å): 3.5283 3.5283 4.8672
angles (deg): 90.00 90.00 90.00
With the nearest neighbours (Å) after each atom.
Space group P4/mmm (No. 123)
Asymmetric unit:
Li 0.0000 0.0000 0.0000  4 O 1.76
Sn 0.0000 0.0000 0.5000  2 Li 2.43, 4 B 2.49
B 0.5000 0.5000 0.5000  4 Sn 2.49
O 0.0000 0.5000 0.0000  2 Li 1.76

E_tot	-11.101	eV/atom
calculated volume	60.6	Å³/cell
formation energy from raw total energies	0.540	eV/atom



For each record above, in turn, the calculated Fermi-level density of states values are 0.000; 0.000; 0.000; 0.000; 0.679; 0.000; 0.000; 1.997 states/eV/f.u..
For each record above, in turn, the calculated total magnetic moment values are 0.00; 0.00; 0.13; 0.00; 0.00; 0.00; 0.00; 1.72 Bohr magnetons per cell.